Record 1
## ScTeCl4 (GGA-PBE)

Data for crystalline ScTeCl4 at its relaxed geometry.

POSCAR file:
```
ScTeCl4
1.0
0.000 4.097 4.097
4.097 0.000 4.097
4.097 4.097 0.000
Sc Te Cl
1 1 4
Cartesian
0.000 0.000 0.000
6.145 6.145 6.145
3.065 3.065 3.065
5.129 5.129 3.065
5.129 3.065 5.129
3.065 5.129 5.129
```

Results
Magnetic moment = 1.36 μB per formula unit
Total energy = -2.7207 eV per atom
E_form (uncorrected) = 0.09 eV per atom

Record 2
## NdDy2HoP4 (GGA-PBE)

Data for crystalline NdDy2HoP4 at its relaxed geometry.

POSCAR file:
```
NdDy2HoP4
1.0
7.002 0.000 0.000
0.000 4.046 0.000
-2.333 0.000 6.602
Nd Dy Ho P
1 2 1 4
Cartesian
0.000 0.000 0.000
-1.167 2.023 3.301
2.334 0.000 3.301
3.501 2.023 0.000
0.034 0.000 4.936
1.201 2.023 1.691
3.468 2.023 4.911
4.634 0.000 1.666
```

Results
Magnetic moment = 0.00 μB per formula unit
Total energy = -6.6095 eV per atom
ΔH_f (0 K) = -1586 meV per atom

Record 3
## Pm2Pr2Ho5 (GGA-PBE)

Data for crystalline Pm2Pr2Ho5 at its relaxed geometry.

POSCAR file:
```
Pm2Pr2Ho5
1.0
-7.513 5.962 3.377
7.513 -5.962 3.377
7.513 5.962 -3.377
Pm Pr Ho
4 4 10
Cartesian
1.900 0.042 0.000
5.613 0.042 0.000
1.900 5.921 3.377
5.613 5.921 3.377
0.000 0.000 3.062
7.513 0.000 3.062
3.757 -0.109 3.697
3.757 6.072 0.320
3.757 2.913 -1.023
9.648 3.167 -1.098
5.378 -2.795 2.279
0.799 3.067 0.997
6.714 3.067 0.997
-2.135 2.795 2.279
9.648 2.795 2.279
3.757 3.049 2.355
-0.799 8.858 0.997
0.799 2.895 4.374
```

Results
Magnetic moment = 0.00 μB per formula unit
Total energy = -4.4588 eV per atom
ΔH_f (0 K) = 202 meV per atom
Energy above the most stable polymorph in this dataset = 0.000 eV/atom

Record 4
## AcPm4Dy5 (GGA-PBE)

Data for crystalline AcPm4Dy5 at its relaxed geometry.

POSCAR file:
```
AcPm4Dy5
1.0
3.653 0.000 0.000
0.000 3.653 0.000
0.000 0.000 25.355
Ac Pm Dy
1 4 5
Cartesian
0.000 0.000 0.000
0.000 0.000 5.181
0.000 0.000 10.180
0.000 0.000 15.175
0.000 0.000 20.174
1.826 1.826 2.709
1.826 1.826 7.687
1.826 1.826 12.678
1.826 1.826 17.668
1.826 1.826 22.646
```

Results
Magnetic moment = 0.00 μB per formula unit
Total energy = -4.5816 eV per atom
ΔH_f (0 K) = 31 meV per atom

Record 5
## SrTbAlIn (GGA-PBE)

Data for crystalline SrTbAlIn at its relaxed geometry.

POSCAR file:
```
SrTbAlIn
1.0
0.000 3.845 3.845
3.845 0.000 3.845
3.845 3.845 0.000
Sr Tb Al In
1 1 1 1
Cartesian
0.000 0.000 0.000
3.845 3.845 3.845
5.768 5.768 5.768
1.923 1.923 1.923
```

Results
Magnetic moment = 0.00 μB per formula unit
Total energy = -3.4638 eV per atom
ΔH_f (0 K) = -266 meV per atom

Record 6
## NaZrV2P (GGA-PBE)

Data for crystalline NaZrV2P at its relaxed geometry.

POSCAR file:
```
NaZrV2P
1.0
4.441 0.000 0.000
0.000 4.441 0.000
0.000 0.000 4.785
Na Zr V P
1 1 2 1
Cartesian
0.000 0.000 0.000
2.221 2.221 0.000
0.000 2.221 2.393
2.221 0.000 2.393
0.000 0.000 2.393
```

Results
Magnetic moment = 0.00 μB per formula unit
Total energy = -6.2567 eV per atom
ΔH_f (0 K) = 446 meV per atom

Record 7
## TmTh3Ir8 (GGA-PBE)

Data for crystalline TmTh3Ir8 at its relaxed geometry.

POSCAR file:
```
TmTh3Ir8
1.0
2.713 1.566 8.869
-2.713 1.566 8.869
0.000 -3.133 8.869
Tm Th Ir
1 3 8
Cartesian
0.000 0.000 0.000
0.000 0.000 9.892
0.000 0.000 13.239
0.000 0.000 23.303
0.000 0.000 4.953
-1.359 -0.785 20.457
0.000 -1.562 16.058
-1.353 0.781 16.058
0.000 0.000 18.246
1.359 -0.785 20.457
1.353 0.781 16.058
0.000 1.570 20.457
```

Results
Magnetic moment = 0.00 μB per formula unit
Total energy = -8.9508 eV per atom
ΔH_f (0 K) = -816 meV per atom

Record 8
## AcHfAl2 (GGA-PBE)

Data for crystalline AcHfAl2 at its relaxed geometry.

POSCAR file:
```
AcHfAl2
1.0
1.784 1.030 9.282
-1.784 1.030 9.282
0.000 -2.059 9.282
Ac Hf Al
1 1 2
Cartesian
0.000 0.000 0.000
0.000 0.000 13.923
0.000 0.000 6.667
0.000 0.000 21.179
```

Results
Magnetic moment = 0.00 μB per formula unit
Total energy = -5.2700 eV per atom
ΔH_f (0 K) = 117 meV per atom
Energy above the most stable polymorph in this dataset = 0.296 eV/atom

Question: Look up the magnetic moment of the first one.
Answer: 1.36 μB per formula unit